No. 1
# ZrAlAsSe2

A relaxed ZrAlAsSe2 crystal (PBE, the Alexandria database).

Properties
* energy: -24.56 eV/cell
* total magnetic moment: 0.00 μB per cell
* space-group type: P4/mmm, No. 123

Lattice parameters (Å, degrees): 5.2095 5.2095 5.2854 90.00 90.00 90.00
Closest atoms and distances in Å follow each position.
Sites, in units of the cell vectors:
As 0.0000 0.0000 0.5000  2 Zr 2.64
Se 0.0000 0.5000 0.0000  2 Zr 2.60
Se 0.5000 0.0000 0.0000  2 Zr 2.60
Zr 0.0000 0.0000 0.0000  4 Se 2.60, 2 As 2.64
Al 0.5000 0.5000 0.5000  4 As 3.68, 8 Se 3.71

=====

No. 2
# MgHgPb

A relaxed MgHgPb crystal (PBE, the Alexandria database).

Properties
* total magnetic moment: 0.00 μB per cell
* space-group type: C2/m, No. 12
* calculated formation energy: -0.04 eV/atom

Lattice parameters (Å, degrees): 6.9944 6.5501 6.9943 90.45 150.94 89.55
Closest atoms and distances in Å follow each position.
Sites, in units of the cell vectors:
Pb 0.4651 0.0515 0.9860  4 Hg 3.24-3.33, 4 Mg 3.34, 2 Pb 3.51
Pb 0.8085 0.5451 0.6428  4 Hg 3.24-3.33, 4 Mg 3.34, 2 Pb 3.51
Mg 0.1368 0.7985 0.3144  4 Hg 2.95, 2 Mg 3.27-3.28
Mg 0.1368 0.2985 0.3144  4 Hg 2.96, 2 Mg 3.27-3.28
Hg 0.5094 0.5511 0.9419  4 Mg 2.95-2.96, 2 Pb 3.24
Hg 0.7643 0.0455 0.6869  4 Mg 2.95-2.96, 2 Pb 3.24